# 1
! PBE LiFeHgPb, relaxed; values from VASP
! Symmetry: No. 216
! Offset from the most stable computed form in eV per formula unit: 0.00
&SYSTEM
  ibrav = 0, nat = 4, ntyp = 4
/
ATOMIC_SPECIES
Hg 200.59 Hg.upf
Li 6.94 Li.upf
Fe 55.84 Fe.upf
Pb 207.20 Pb.upf
CELL_PARAMETERS angstrom
0.0000 3.3441 3.3441
3.3441 0.0000 3.3441
3.3441 3.3441 0.0000
ATOMIC_POSITIONS crystal
Hg 0.5000 0.5000 0.5000
Li 0.2500 0.2500 0.2500
Fe 0.7500 0.7500 0.7500
Pb 0.0000 0.0000 0.0000

=====

# 2
! PBE LiGdCoTe3, relaxed; values from VASP
! VASP energy in eV per atom: -4.58
! Symmetry: No. 63
&SYSTEM
  ibrav = 0, nat = 12, ntyp = 4
/
ATOMIC_SPECIES
Te 127.60 Te.upf
Li 6.94 Li.upf
Gd 157.25 Gd.upf
Co 58.93 Co.upf
CELL_PARAMETERS angstrom
4.0772 0.0000 0.0000
2.0386 7.0516 0.0000
0.0000 0.0000 11.2222
ATOMIC_POSITIONS crystal
Te 0.3525 0.2949 0.5824
Te 0.3525 0.2949 0.9176
Li 0.7870 0.4259 0.7500
Gd 0.0000 0.0000 0.0000
Co 0.5213 0.9573 0.2500
Te 0.0904 0.8192 0.7500
Te 0.6475 0.7051 0.4176
Te 0.9096 0.1808 0.2500
Gd 0.0000 0.0000 0.5000
Li 0.2130 0.5741 0.2500
Co 0.4787 0.0427 0.7500
Te 0.6475 0.7051 0.0824

=====

# 3
! PBE Hf3Ta3Ga2Fe, relaxed; values from VASP
! Symmetry: No. 189
! Offset from the most stable computed form in eV per formula unit: 1.03
&SYSTEM
  ibrav = 0, nat = 9, ntyp = 4
/
ATOMIC_SPECIES
Ta 180.95 Ta.upf
Hf 178.49 Hf.upf
Ga 69.72 Ga.upf
Fe 55.84 Fe.upf
CELL_PARAMETERS angstrom
-5.6608 0.0466 5.0253
-0.5833 -4.1254 -6.3199
1.3316 -2.5220 1.5234
ATOMIC_POSITIONS crystal
Ta 0.5987 0.5987 0.0000
Hf 0.2545 0.2545 0.5000
Ga 0.6667 0.3333 0.5000
Ta 0.0000 0.4013 0.0000
Ga 0.3333 0.6667 0.5000
Hf 0.7455 0.0000 0.5000
Hf 0.0000 0.7455 0.5000
Fe 0.0000 0.0000 0.0000
Ta 0.4013 0.0000 0.0000

=====

# 4
! PBE Li2Mg2ZnSnPd2, relaxed; values from VASP
! VASP energy in eV per atom: -3.35
! Symmetry: No. 115
&SYSTEM
  ibrav = 0, nat = 8, ntyp = 5
/
ATOMIC_SPECIES
Li 6.94 Li.upf
Mg 24.30 Mg.upf
Sn 118.71 Sn.upf
Pd 106.42 Pd.upf
Zn 65.41 Zn.upf
CELL_PARAMETERS angstrom
4.5074 0.0000 0.0000
0.0000 4.5074 0.0000
0.0000 0.0000 6.3911
ATOMIC_POSITIONS crystal
Li 0.5000 0.0000 0.2667
Mg 0.5000 0.5000 0.0000
Sn 0.0000 0.0000 0.0000
Mg 0.0000 0.0000 0.5000
Pd 0.0000 0.5000 0.2571
Li 0.0000 0.5000 0.7333
Pd 0.5000 0.0000 0.7429
Zn 0.5000 0.5000 0.5000

=====

# 5
! PBE CsNiIr, relaxed; values from VASP
! Symmetry: No. 216
! Offset from the most stable computed form in eV per formula unit: 0.00
&SYSTEM
  ibrav = 0, nat = 3, ntyp = 3
/
ATOMIC_SPECIES
Cs 132.91 Cs.upf
Ir 192.22 Ir.upf
Ni 58.69 Ni.upf
CELL_PARAMETERS angstrom
-4.4666 0.6617 1.2706
-1.9852 4.2183 -0.5170
-3.2966 0.6556 -3.2718
ATOMIC_POSITIONS crystal
Cs 0.2500 0.2500 0.2500
Ir 0.0000 0.0000 0.0000
Ni 0.7500 0.7500 0.7500

=====

# 6
! PBE LuBe2Os, relaxed; values from VASP
! VASP energy in eV per atom: -5.53
! Symmetry: No. 216
&SYSTEM
  ibrav = 0, nat = 4, ntyp = 3
/
ATOMIC_SPECIES
Be 9.01 Be.upf
Lu 174.97 Lu.upf
Os 190.23 Os.upf
CELL_PARAMETERS angstrom
0.0000 3.0771 3.0771
3.0771 0.0000 3.0771
3.0771 3.0771 0.0000
ATOMIC_POSITIONS crystal
Be 0.0000 0.0000 0.0000
Lu 0.2500 0.2500 0.2500
Os 0.5000 0.5000 0.5000
Be 0.7500 0.7500 0.7500

=====

# 7
! PBE Lu2NbRe, relaxed; values from VASP
! Symmetry: No. 216
! ΔH_f (0 K) in eV/atom: 0.223
&SYSTEM
  ibrav = 0, nat = 4, ntyp = 3
/
ATOMIC_SPECIES
Lu 174.97 Lu.upf
Re 186.21 Re.upf
Nb 92.91 Nb.upf
CELL_PARAMETERS angstrom
1.4873 -1.5138 4.3688
1.4417 3.2302 3.3283
-2.7411 0.8339 3.9219
ATOMIC_POSITIONS crystal
Lu 0.2500 0.2500 0.2500
Lu 0.5000 0.5000 0.5000
Re 0.7500 0.7500 0.7500
Nb 0.0000 0.0000 0.0000

=====

# 8
! PBE Zr2ReNi, relaxed; values from VASP
! Symmetry: No. 40
! ΔH_f (0 K) in eV/atom: -0.027
&SYSTEM
  ibrav = 0, nat = 8, ntyp = 3
/
ATOMIC_SPECIES
Zr 91.22 Zr.upf
Ni 58.69 Ni.upf
Re 186.21 Re.upf
CELL_PARAMETERS angstrom
-3.6793 2.0976 -2.0086
-1.2861 2.7549 5.2329
3.5952 2.1007 -4.3919
ATOMIC_POSITIONS crystal
Zr 0.7500 0.6691 0.8050
Ni 0.7500 0.6801 0.3467
Ni 0.2500 0.3467 0.6801
Zr 0.2500 0.8050 0.6691
Re 0.7500 0.1712 0.2962
Zr 0.7500 0.2085 0.8232
Zr 0.2500 0.8232 0.2085
Re 0.2500 0.2962 0.1712

=====

# 9
! PBE PmS2, relaxed; values from VASP
! Symmetry: No. 227
! Offset from the most stable computed form in eV per formula unit: 3.65
&SYSTEM
  ibrav = 0, nat = 6, ntyp = 2
/
ATOMIC_SPECIES
Pm 145.00 Pm.upf
S 32.06 S.upf
CELL_PARAMETERS angstrom
3.5188 -3.0045 3.0788
-1.0102 -5.3884 0.9125
3.1854 -3.8699 -2.4010
ATOMIC_POSITIONS crystal
Pm 0.0000 0.0000 0.0000
S 0.6250 0.6250 0.1250
S 0.1250 0.6250 0.6250
S 0.6250 0.1250 0.6250
S 0.6250 0.6250 0.6250
Pm 0.2500 0.2500 0.2500

=====

# 10
! PBE NbTlAgTe2S, relaxed; values from VASP
! VASP energy in eV per atom: -4.53
! Symmetry: No. 63
&SYSTEM
  ibrav = 0, nat = 12, ntyp = 5
/
ATOMIC_SPECIES
Tl 204.38 Tl.upf
Te 127.60 Te.upf
Ag 107.87 Ag.upf
S 32.06 S.upf
Nb 92.91 Nb.upf
CELL_PARAMETERS angstrom
1.9722 -7.7358 0.0000
1.9722 7.7358 0.0000
0.0000 0.0000 10.2085
ATOMIC_POSITIONS crystal
Tl 0.7581 0.2419 0.2500
Te 0.8650 0.1350 0.9689
Ag 0.9638 0.0362 0.7500
Ag 0.0362 0.9638 0.2500
Te 0.1350 0.8650 0.4689
S 0.4386 0.5614 0.2500
Nb 0.5000 0.5000 0.0000
Nb 0.5000 0.5000 0.5000
S 0.5614 0.4386 0.7500
Te 0.8650 0.1350 0.5311
Te 0.1350 0.8650 0.0311
Tl 0.2419 0.7581 0.7500

=====

# 11
! PBE Li2TaCo, relaxed; values from VASP
! VASP energy in eV per atom: -5.40
! Symmetry: No. 216
&SYSTEM
  ibrav = 0, nat = 4, ntyp = 3
/
ATOMIC_SPECIES
Li 6.94 Li.upf
Co 58.93 Co.upf
Ta 180.95 Ta.upf
CELL_PARAMETERS angstrom
0.0000 2.9533 2.9533
2.9533 0.0000 2.9533
2.9533 2.9533 0.0000
ATOMIC_POSITIONS crystal
Li 0.7500 0.7500 0.7500
Li 0.0000 0.0000 0.0000
Co 0.2500 0.2500 0.2500
Ta 0.5000 0.5000 0.5000

=====

# 12
! PBE CsAgTeIrSe2, relaxed; values from VASP
! VASP energy in eV per atom: -4.09
! Symmetry: No. 63
&SYSTEM
  ibrav = 0, nat = 12, ntyp = 5
/
ATOMIC_SPECIES
Ir 192.22 Ir.upf
Se 78.96 Se.upf
Cs 132.91 Cs.upf
Ag 107.87 Ag.upf
Te 127.60 Te.upf
CELL_PARAMETERS angstrom
1.9408 -8.4986 0.0000
1.9408 8.4986 0.0000
0.0000 0.0000 10.4818
ATOMIC_POSITIONS crystal
Ir 0.0000 0.0000 0.5000
Se 0.4016 0.5984 0.4830
Cs 0.2370 0.7630 0.7500
Ag 0.4434 0.5566 0.2500
Se 0.5984 0.4016 0.9830
Te 0.0625 0.9375 0.2500
Cs 0.7630 0.2370 0.2500
Ir 0.0000 0.0000 0.0000
Ag 0.5566 0.4434 0.7500
Se 0.4016 0.5984 0.0170
Se 0.5984 0.4016 0.5170
Te 0.9375 0.0625 0.7500